Record 1
First-principles (PBE) data for crystalline Hf3UGe at its relaxed geometry, as listed in OQMD via LeMat-Bulk.

Geometry as CIF:
```
data_Hf3UGe
_cell_length_a 8.9545
_cell_length_b 8.9545
_cell_length_c 4.8065
_cell_angle_alpha 90.00
_cell_angle_beta 90.00
_cell_angle_gamma 120.00
_space_group_name_H-M_alt 'P 63/m m c'
_space_group_IT_number 194
_space_group_name_Hall '-P 6c 2c'
loop_
_atom_site_label
_atom_site_fract_x
_atom_site_fract_y
_atom_site_fract_z
Hf1 0.1636 0.3272 0.2500
U1 0.0000 0.0000 0.0000
Ge1 0.3333 0.6667 0.2500
```

## Properties
Uncorrected energy   -77.8 eV/cell
Total magnetization   0.28 Bohr magnetons per cell
Density   8.42 g cm⁻³

Record 2
First-principles (PBE) data for crystalline PuZnB at its relaxed geometry, as listed in OQMD via LeMat-Bulk.

Geometry as CIF:
```
data_PuZnB
_cell_length_a 6.013
_cell_length_b 6.013
_cell_length_c 6.013
_cell_angle_alpha 90.00
_cell_angle_beta 90.00
_cell_angle_gamma 90.00
_space_group_name_H-M_alt 'F -4 3 m'
_space_group_IT_number 216
_space_group_name_Hall 'F -4 2 3'
loop_
_atom_site_label
_atom_site_fract_x
_atom_site_fract_y
_atom_site_fract_z
Pu1 0.000 0.000 0.000
Zn1 0.250 0.250 0.250
B1 0.250 0.250 0.750
```

## Properties
Total magnetization   20.48 Bohr magnetons per cell
Relative energy among the computed polymorphs   0.888 eV/atom
Density   9.79 g cm⁻³

Record 3
First-principles (PBE) data for crystalline SmScPb at its relaxed geometry, as listed in OQMD via LeMat-Bulk.

Geometry as CIF:
```
data_SmScPb
_cell_length_a 7.190
_cell_length_b 7.190
_cell_length_c 7.190
_cell_angle_alpha 90.00
_cell_angle_beta 90.00
_cell_angle_gamma 90.00
_space_group_name_H-M_alt 'F -4 3 m'
_space_group_IT_number 216
_space_group_name_Hall 'F -4 2 3'
loop_
_atom_site_label
_atom_site_fract_x
_atom_site_fract_y
_atom_site_fract_z
Sm1 0.000 0.000 0.000
Sc1 0.000 0.000 0.500
Pb1 0.250 0.250 0.750
```

## Properties
Total magnetization   3.60 Bohr magnetons per cell
Relative energy among the computed polymorphs   0.288 eV/atom
Density   7.19 g cm⁻³